Entry 1:
# Tb7Si5Sn PBE relaxed
# * final energy: -5.35 eV per atom
# * formation energy (no corrections): -0.46 eV/atom
data_Tb7Si5Sn
_cell_length_a 5.866
_cell_length_b 10.886
_cell_length_c 9.881
_cell_angle_alpha 90.00
_cell_angle_beta 90.00
_cell_angle_gamma 90.00
_symmetry_space_group_name_H-M 'I m m 2'
_symmetry_Int_Tables_number 44
loop_
_symmetry_equiv_pos_as_xyz
'x,y,z'
'-x,-y,z'
'-x,y,z'
'x,-y,z'
'x+1/2,y+1/2,z+1/2'
'-x+1/2,-y+1/2,z+1/2'
'-x+1/2,y+1/2,z+1/2'
'x+1/2,-y+1/2,z+1/2'
loop_
_atom_site_label
_atom_site_type_symbol
_atom_site_fract_x
_atom_site_fract_y
_atom_site_fract_z
Tb1 Tb 0.000 0.000 0.000
Tb2 Tb 0.000 0.000 0.377
Tb3 Tb 0.000 0.323 0.642
Tb4 Tb 0.000 0.335 0.087
Tb5 Tb 0.000 0.500 0.351
Si1 Si 0.000 0.500 0.857
Si2 Si 0.210 0.258 0.371
Sn1 Sn 0.000 0.000 0.686

=====

Entry 2:
# V8Mo2W PBE relaxed
# * final energy: -9.53 eV per atom
# * energy relative to the lowest polymorph listed for this composition: 0.0000 eV per atom
data_V8Mo2W
_cell_length_a 13.606
_cell_length_b 5.068
_cell_length_c 4.789
_cell_angle_alpha 90.00
_cell_angle_beta 101.42
_cell_angle_gamma 90.00
_symmetry_space_group_name_H-M 'C 1 2/m 1'
_symmetry_Int_Tables_number 12
loop_
_symmetry_equiv_pos_as_xyz
'x,y,z'
'-x,-y,-z'
'-x,y,-z'
'x,-y,z'
'x+1/2,y+1/2,z'
'-x+1/2,-y+1/2,-z'
'-x+1/2,y+1/2,-z'
'x+1/2,-y+1/2,z'
loop_
_atom_site_label
_atom_site_type_symbol
_atom_site_fract_x
_atom_site_fract_y
_atom_site_fract_z
V1 V 0.085 0.250 0.476
V2 V 0.087 0.000 0.945
V3 V 0.205 0.500 0.094
Mo1 Mo 0.245 0.000 0.358
W1 W 0.000 0.500 0.000

=====

Entry 3:
# LiCdAg2 PBE relaxed
# * final energy: -2.22 eV per atom
data_LiCdAg2
_cell_length_a 2.9978
_cell_length_b 2.9978
_cell_length_c 28.3173
_cell_angle_alpha 90.00
_cell_angle_beta 90.00
_cell_angle_gamma 120.00
_symmetry_space_group_name_H-M 'R 3 m'
_symmetry_Int_Tables_number 160
_symmetry_space_group_name_Hall 'R 3 -2"'
loop_
_atom_site_label
_atom_site_type_symbol
_atom_site_fract_x
_atom_site_fract_y
_atom_site_fract_z
Li1 Li 0.0000 0.0000 0.0000
Cd1 Cd 0.0000 0.0000 0.2473
Ag1 Ag 0.0000 0.0000 0.4929
Ag2 Ag 0.0000 0.0000 0.7421

=====

Entry 4:
# CrNi8Pt6 PBE relaxed
# * final energy: -6.06 eV per atom
data_CrNi8Pt6
_cell_length_a 7.1536
_cell_length_b 7.1536
_cell_length_c 13.4132
_cell_angle_alpha 90.00
_cell_angle_beta 90.00
_cell_angle_gamma 120.00
_symmetry_space_group_name_H-M 'R -3'
_symmetry_Int_Tables_number 148
_symmetry_space_group_name_Hall '-R 3'
loop_
_atom_site_label
_atom_site_type_symbol
_atom_site_fract_x
_atom_site_fract_y
_atom_site_fract_z
Cr1 Cr 0.0000 0.0000 0.0000
Ni1 Ni 0.0000 0.0000 0.2392
Ni2 Ni 0.0534 0.7799 0.9052
Pt1 Pt 0.0264 0.7878 0.4107

=====

Entry 5:
# YInNiPt PBE relaxed
# * final energy: -5.89 eV per atom
data_YInNiPt
_cell_length_a 6.688
_cell_length_b 6.688
_cell_length_c 6.688
_cell_angle_alpha 90.00
_cell_angle_beta 90.00
_cell_angle_gamma 90.00
_symmetry_space_group_name_H-M 'F -4 3 m'
_symmetry_Int_Tables_number 216
_symmetry_space_group_name_Hall 'F -4 2 3'
loop_
_atom_site_label
_atom_site_type_symbol
_atom_site_fract_x
_atom_site_fract_y
_atom_site_fract_z
Y1 Y 0.000 0.000 0.000
In1 In 0.000 0.000 0.500
Ni1 Ni 0.250 0.250 0.250
Pt1 Pt 0.250 0.250 0.750

=====

Entry 6:
# La2MoBr PBE relaxed
# * final energy: -5.94 eV per atom
# * formation energy (no corrections): -0.35 eV/atom
# * energy relative to the lowest polymorph listed for this composition: 0.0220 eV per atom
data_La2MoBr
_cell_length_a 3.559
_cell_length_b 3.584
_cell_length_c 8.493
_cell_angle_alpha 90.00
_cell_angle_beta 90.47
_cell_angle_gamma 90.00
_symmetry_space_group_name_H-M 'P 1 2/m 1'
_symmetry_Int_Tables_number 10
loop_
_symmetry_equiv_pos_as_xyz
'x,y,z'
'-x,-y,-z'
'-x,y,-z'
'x,-y,z'
loop_
_atom_site_label
_atom_site_type_symbol
_atom_site_fract_x
_atom_site_fract_y
_atom_site_fract_z
La1 La 0.002 0.000 0.286
Mo1 Mo 0.500 0.500 0.500
Br1 Br 0.500 0.500 0.000